Density functional theory data (PBE) for an optimized crystal structure of PuThZnIr.

The structure in POSCAR format:
```
PuThZnIr
1.0
7.1083 0.0000 0.0000
0.0000 7.1083 0.0000
0.0000 0.0000 7.1083
Pu Th Zn Ir
4 4 4 4
Direct
0.0000 0.0000 0.0000
0.0000 0.5000 0.5000
0.5000 0.0000 0.5000
0.5000 0.5000 0.0000
0.0000 0.0000 0.5000
0.0000 0.5000 0.0000
0.5000 0.0000 0.0000
0.5000 0.5000 0.5000
0.2500 0.2500 0.2500
0.2500 0.7500 0.7500
0.7500 0.2500 0.7500
0.7500 0.7500 0.2500
0.2500 0.2500 0.7500
0.2500 0.7500 0.2500
0.7500 0.2500 0.2500
0.7500 0.7500 0.7500
```

Properties
* DFT formation energy: -0.36 eV/atom
* spin magnetization: 22.26 μB/cell

Density functional theory data (PBE) for an optimized crystal structure of Nd13Rh2.

The structure in POSCAR format:
```
Nd13Rh2
1.0
6.7423 0.0000 0.0000
1.2801 8.2515 0.0000
0.9580 3.8903 8.8072
Nd Rh
13 2
Direct
0.0000 0.0000 0.0000
0.0039 0.1878 0.3304
0.1677 0.6544 0.3721
0.2351 0.5565 0.0432
0.3021 0.3683 0.7716
0.4622 0.0769 0.1497
0.4814 0.2288 0.4448
0.5186 0.7712 0.5552
0.5378 0.9231 0.8503
0.6979 0.6317 0.2284
0.7649 0.4435 0.9568
0.8323 0.3456 0.6279
0.9961 0.8122 0.6696
0.1835 0.0934 0.6843
0.8165 0.9066 0.3157
```

Properties
* DFT formation energy: -0.15 eV/atom
* spin magnetization: 0.00 μB/cell

Density functional theory data (PBE) for an optimized crystal structure of Mg2FeN2.

The structure in POSCAR format:
```
Mg2FeN2
1.0
6.3715 0.0000 0.0000
0.0000 6.3715 0.0000
0.0000 0.0000 2.6829
Mg Fe N
4 2 4
Direct
0.1380 0.3620 0.0000
0.3620 0.8620 0.0000
0.6380 0.1380 0.0000
0.8620 0.6380 0.0000
0.0000 0.0000 0.0000
0.5000 0.5000 0.0000
0.1686 0.6686 0.5000
0.3314 0.1686 0.5000
0.6686 0.8314 0.5000
0.8314 0.3314 0.5000
```

Properties
* offset from the most stable computed form: 997 meV/atom
* formation energy without anion corrections: 531 meV per atom
* spin magnetization: 6.54 μB/cell

Question: spin magnetization of number 3 (Mg2FeN2)?
Answer: 6.54 μB/cell

Question: What is the spin magnetization in the first record?
Answer: 22.26 μB/cell